A | Compound: Ir3SI
Source: the Alexandria database
Functional: PBE
Structure: optimized geometry

## Properties
SG	No. 221
crystal system	cubic

a b c (Å): 4.530 4.530 4.530
angles (deg): 90.00 90.00 90.00
Element x y z (fractional)
Ir 0.000 0.000 0.500
Ir 0.000 0.500 0.000
Ir 0.500 0.000 0.000
S 0.000 0.000 0.000
I 0.500 0.500 0.500

***

B | Compound: Ir3SI
Source: the Alexandria database
Functional: PBE
Structure: optimized geometry

## Properties
SG	No. 221
crystal system	cubic

a b c (Å): 4.882 4.882 4.882
angles (deg): 90.00 90.00 90.00
Element x y z (fractional)
Ir 0.000 0.000 0.500
Ir 0.000 0.500 0.000
Ir 0.500 0.000 0.000
S 0.500 0.500 0.500
I 0.000 0.000 0.000

***

A is favored, and the nearest alternative lies 117.4 kJ/mol of atoms above it.

***

A | Compound: Ir2S2I
Source: the Alexandria database
Functional: PBE
Structure: optimized geometry

## Properties
SG	No. 139
crystal system	tetragonal

a b c (Å): 3.859 3.859 15.652
angles (deg): 90.00 90.00 90.00
Element x y z (fractional)
Ir 0.000 0.500 0.250
Ir 0.000 0.500 0.750
Ir 0.500 0.000 0.250
Ir 0.500 0.000 0.750
S 0.000 0.000 0.163
S 0.000 0.000 0.837
S 0.500 0.500 0.337
S 0.500 0.500 0.663
I 0.000 0.000 0.500
I 0.500 0.500 0.000

***

B | Compound: Ir2S2I
Source: the Alexandria database
Functional: PBE
Structure: optimized geometry

## Properties
SG	No. 127
crystal system	tetragonal

a b c (Å): 8.424 8.424 2.905
angles (deg): 90.00 90.00 90.00
Element x y z (fractional)
Ir 0.113 0.387 0.000
Ir 0.387 0.887 0.000
Ir 0.613 0.113 0.000
Ir 0.887 0.613 0.000
S 0.121 0.621 0.500
S 0.379 0.121 0.500
S 0.621 0.879 0.500
S 0.879 0.379 0.500
I 0.000 0.000 0.500
I 0.500 0.500 0.500

***

A is favored, and the nearest alternative lies 73.0 kJ/mol of atoms above it.